ThSnRh2 (PBE, optimized geometry); E_tot = -58.49 eV for the cell shown; D(E_F) = 0.509 states/eV per atom; total magnetization = 0.0 Bohr magnetons per cell; ΔE_f = -0.780 eV per atom
1.0
4.4649 0.0000 0.0000
0.0000 5.2510 -1.9093
0.0000 -0.5306 7.1499
Th Sn Rh
2 2 4
Cartesian
1.1162 1.4917 0.2112
3.3487 3.2288 5.0293
3.3487 3.7690 1.3346
1.1162 0.9514 3.9060
1.1162 4.4257 -0.1066
3.3487 0.2948 5.3472
3.3487 1.1861 2.2502
1.1162 3.5343 2.9903